Entry 1:
ScB5Ir6: relaxed, PBE.

a = 2.983 Å, b = 7.103 Å, c = 7.664 Å
α = 111.70°, β = 100.89°, γ = 90.05°
Atoms (fractional coordinates):
Sc  0.000  0.000  0.000
B  0.000  0.500  0.000
B  0.284  0.999  0.570
B  0.290  0.536  0.583
B  0.710  0.464  0.417
B  0.716  0.001  0.430
Ir  0.131  0.803  0.257
Ir  0.195  0.231  0.389
Ir  0.442  0.631  0.879
Ir  0.558  0.369  0.121
Ir  0.805  0.769  0.611
Ir  0.869  0.197  0.743

Values from the calculation:
size of the total moment: 0.0 μB per formula unit
total energy: -95.5 eV per cell
space group: P-1

Entry 2:
Tm3Se2S2: relaxed, PBE.

a = 3.902 Å, b = 6.718 Å, c = 6.906 Å
α = 80.81°, β = 89.96°, γ = 73.13°
Atoms (fractional coordinates):
Tm  0.000  0.000  0.000
Tm  0.244  0.513  0.749
Tm  0.756  0.487  0.251
Se  0.122  0.754  0.373
Se  0.878  0.246  0.627
S  0.373  0.255  0.110
S  0.627  0.745  0.890

Values from the calculation:
size of the total moment: 0.0 μB per formula unit
energy relative to the elements, uncorrected: -1.962 eV per atom
total energy: -42.4 eV per cell
space group: P-1

Entry 3:
Cs4NaPu3Br12: relaxed, PBE.

a = 10.168 Å, b = 10.168 Å, c = 10.168 Å
α = 109.47°, β = 109.47°, γ = 109.47°
Atoms (fractional coordinates):
Cs  0.000  0.000  0.500
Cs  0.000  0.500  0.000
Cs  0.500  0.000  0.000
Cs  0.500  0.500  0.500
Na  0.000  0.000  0.000
Pu  0.000  0.500  0.500
Pu  0.500  0.000  0.500
Pu  0.500  0.500  0.000
Br  0.000  0.253  0.253
Br  0.000  0.747  0.747
Br  0.250  0.500  0.750
Br  0.250  0.750  0.500
Br  0.253  0.000  0.253
Br  0.253  0.253  0.000
Br  0.500  0.250  0.750
Br  0.500  0.750  0.250
Br  0.747  0.000  0.747
Br  0.747  0.747  0.000
Br  0.750  0.250  0.500
Br  0.750  0.500  0.250

Values from the calculation:
size of the total moment: 17.0 μB per formula unit
energy relative to the elements, uncorrected: -1.645 eV per atom
total energy: -100.7 eV per cell
space group: Im-3m

Entry 4:
Ac2Zn3: relaxed, PBE.

a = 14.620 Å, b = 14.620 Å, c = 4.745 Å
α = 90.00°, β = 90.00°, γ = 164.37°
Atoms (fractional coordinates):
Ac  0.070  0.930  0.750
Ac  0.206  0.794  0.250
Ac  0.794  0.206  0.750
Ac  0.930  0.070  0.250
Zn  0.334  0.666  0.250
Zn  0.384  0.616  0.750
Zn  0.477  0.523  0.750
Zn  0.523  0.477  0.250
Zn  0.616  0.384  0.250
Zn  0.666  0.334  0.750

Values from the calculation:
relative energy among the computed polymorphs: 0.00 kcal/mol of atoms
size of the total moment: 0.0 μB per formula unit
total energy: -26.7 eV per cell
space group: Cmcm

Entry 5:
Sr2NbO6: relaxed, PBE.

a = 6.362 Å, b = 6.362 Å, c = 3.797 Å
α = 98.31°, β = 98.31°, γ = 56.63°
Atoms (fractional coordinates):
Sr  0.168  0.168  0.182
Sr  0.832  0.832  0.818
Nb  0.500  0.500  0.500
O  0.143  0.587  0.340
O  0.296  0.704  0.000
O  0.413  0.857  0.660
O  0.587  0.143  0.340
O  0.704  0.296  0.000
O  0.857  0.413  0.660

Values from the calculation:
size of the total moment: 1.0 μB per formula unit
energy relative to the elements, uncorrected: -2.036 eV per atom
total energy: -61.5 eV per cell
space group: C2/m

Entry 6:
Ba2ScTlO6: relaxed, PBE.

a = 6.082 Å, b = 6.082 Å, c = 6.082 Å
α = 60.00°, β = 60.00°, γ = 60.00°
Atoms (fractional coordinates):
Ba  0.250  0.250  0.250
Ba  0.750  0.750  0.750
Sc  0.000  0.000  0.000
Tl  0.500  0.500  0.500
O  0.242  0.242  0.758
O  0.242  0.758  0.242
O  0.242  0.758  0.758
O  0.758  0.242  0.242
O  0.758  0.242  0.758
O  0.758  0.758  0.242

Values from the calculation:
size of the total moment: 2.0 μB per formula unit
energy relative to the elements, uncorrected: -2.017 eV per atom
total energy: -62.5 eV per cell
space group: Fm-3m

Entry 7:
Hf3CdC: relaxed, PBE.

a = 8.170 Å, b = 5.838 Å, c = 8.556 Å
α = 90.00°, β = 112.81°, γ = 90.00°
Atoms (fractional coordinates):
Hf  0.053  0.084  0.351
Hf  0.053  0.416  0.851
Hf  0.189  0.571  0.540
Hf  0.189  0.929  0.040
Hf  0.336  0.119  0.755
Hf  0.336  0.381  0.255
Hf  0.664  0.619  0.745
Hf  0.664  0.881  0.245
Hf  0.811  0.071  0.960
Hf  0.811  0.429  0.460
Hf  0.947  0.584  0.149
Hf  0.947  0.916  0.649
Cd  0.400  0.665  0.901
Cd  0.400  0.835  0.401
Cd  0.600  0.165  0.599
Cd  0.600  0.335  0.099
C  0.071  0.244  0.102
C  0.071  0.256  0.602
C  0.929  0.744  0.398
C  0.929  0.756  0.898

Values from the calculation:
relative energy among the computed polymorphs: 3.74 kcal/mol of atoms
size of the total moment: 0.0 μB per formula unit
total energy: -165.4 eV per cell
space group: P2_1/c

Entry 8:
Y3Al3Ga2: relaxed, PBE.

a = 5.800 Å, b = 5.800 Å, c = 14.916 Å
α = 90.00°, β = 90.00°, γ = 136.02°
Atoms (fractional coordinates):
Y  0.079  0.921  0.611
Y  0.079  0.921  0.889
Y  0.357  0.643  0.750
Y  0.643  0.357  0.250
Y  0.921  0.079  0.111
Y  0.921  0.079  0.389
Al  0.360  0.640  0.250
Al  0.383  0.617  0.539
Al  0.383  0.617  0.961
Al  0.617  0.383  0.039
Al  0.617  0.383  0.461
Al  0.640  0.360  0.750
Ga  0.211  0.789  0.107
Ga  0.211  0.789  0.393
Ga  0.789  0.211  0.607
Ga  0.789  0.211  0.893

Values from the calculation:
size of the total moment: 0.0 μB per formula unit
total energy: -82.2 eV per cell
space group: Cmcm

Entry 9:
GdDyInPd: relaxed, PBE.

a = 5.186 Å, b = 5.186 Å, c = 5.186 Å
α = 60.00°, β = 60.00°, γ = 60.00°
Atoms (fractional coordinates):
Gd  0.000  0.000  0.000
Dy  0.500  0.500  0.500
In  0.250  0.250  0.250
Pd  0.750  0.750  0.750

Values from the calculation:
size of the total moment: 7.2 μB per formula unit
total energy: -29.0 eV per cell
space group: F-43m

Entry 10:
NiSn2Pt: relaxed, PBE.

a = 9.043 Å, b = 9.043 Å, c = 9.043 Å
α = 151.84°, β = 151.84°, γ = 40.25°
Atoms (fractional coordinates):
Ni  0.000  0.000  0.000
Ni  0.750  0.250  0.500
Sn  0.109  0.625  0.984
Sn  0.375  0.359  0.484
Sn  0.641  0.125  0.016
Sn  0.875  0.891  0.516
Pt  0.250  0.750  0.500
Pt  0.500  0.500  0.000

Values from the calculation:
relative energy among the computed polymorphs: 1.84 kcal/mol of atoms
size of the total moment: 0.0 μB per formula unit
total energy: -39.8 eV per cell
space group: I-42d

Entry 11:
InCuBr: relaxed, PBE.

a = 4.784 Å, b = 4.784 Å, c = 4.784 Å
α = 60.00°, β = 60.00°, γ = 60.00°
Atoms (fractional coordinates):
In  0.000  0.000  0.000
Cu  0.750  0.750  0.750
Br  0.500  0.500  0.500

Values from the calculation:
relative energy among the computed polymorphs: 6.06 kcal/mol of atoms
size of the total moment: 0.0 μB per formula unit
energy relative to the elements, uncorrected: 0.143 eV per atom
total energy: -8.1 eV per cell
space group: F-43m

Entry 12:
TaMn: relaxed, PBE.

a = 2.797 Å, b = 2.797 Å, c = 8.829 Å
α = 90.00°, β = 90.00°, γ = 120.00°
Atoms (fractional coordinates):
Ta  0.333  0.667  0.352
Ta  0.667  0.333  0.648
Mn  0.333  0.667  0.908
Mn  0.667  0.333  0.092

Values from the calculation:
size of the total moment: 0.0 μB per formula unit
total energy: -40.7 eV per cell
space group: P-3m1

Question: Number 7 is which compound?
Answer: Hf3CdC